Model i:
Material: LiHoPt
Method: DFT, PBE-GGA
State: relaxed

Unit cell a=4.3259 b=4.3259 c=4.3259 alpha=60.00 beta=60.00 gamma=60.00
Positions (direct):
Ho (0.2500, 0.2500, 0.2500)
Li (0.0000, 0.0000, 0.0000)
Pt (0.7500, 0.7500, 0.7500)

Calculated values
symmetry = F-43m, No. 216

Model ii:
Material: LiHoPt
Method: DFT, PBE-GGA
State: relaxed

Unit cell a=4.5913 b=4.5913 c=4.5913 alpha=60.00 beta=60.00 gamma=60.00
Positions (direct):
Ho (0.0000, 0.0000, 0.0000)
Li (0.2500, 0.2500, 0.2500)
Pt (0.7500, 0.7500, 0.7500)

Calculated values
symmetry = F-43m, No. 216

Relative energies, in kJ/mol of atoms, with the most stable structure set to zero: model i 0.0; model ii 16.4.